(1)
{"formula": "CaAl", "functional": "SCAN", "state": "single point on PBEsol structure", "spacegroup": "Imma, No. 74", "dft_energy_ev_per_fu": -17.73, "lattice_angstrom": [[3.6751, 0.0000, 0.0000], [0.0000, 5.1910, 0.0000], [-1.8376, -2.5955, 5.2826]], "species": ["Al", "Al", "Ca", "Ca"], "fractional_positions": [[0.8410, 0.5910, 0.6819], [0.1590, 0.4090, 0.3181], [0.6041, 0.8541, 0.2082], [0.3959, 0.1459, 0.7917]]}



(2)
{"formula": "Ca2Al", "functional": "SCAN", "state": "single point on PBEsol structure", "spacegroup": "C2/m, No. 12", "dft_energy_ev_per_fu": -27.34, "lattice_angstrom": [[-2.3603, -2.8334, -0.4283], [3.2017, 0.5954, -5.4938], [4.5134, -4.5994, 5.5543]], "species": ["Ca", "Ca", "Ca", "Ca", "Al", "Al"], "fractional_positions": [[0.4777, 0.9554, 0.2967], [0.8310, 0.6621, 0.8680], [0.1690, 0.3379, 0.1320], [0.5223, 0.0446, 0.7033], [0.1872, 0.3743, 0.5457], [0.8128, 0.6257, 0.4543]]}